Below is a geometry-optimized LaMg2Sb structure, with properties calculated at the PBE level.

Computed properties:
The value obtained for the total energy is -3.3569 eV/atom. For the density of states at the Fermi level, the calculation gives 11.3 states/eV/cell.

```
LaMg2Sb
1.0
7.591 0.000 0.000
0.000 7.591 0.000
0.000 0.000 7.591
La Mg Sb
4 8 4
Cartesian
0.000 0.000 0.000
0.000 3.796 3.796
3.796 0.000 3.796
3.796 3.796 0.000
0.000 0.000 3.796
0.000 3.796 0.000
1.898 1.898 1.898
1.898 5.694 5.694
3.796 0.000 0.000
3.796 3.796 3.796
5.694 1.898 5.694
5.694 5.694 1.898
1.898 1.898 5.694
1.898 5.694 1.898
5.694 1.898 1.898
5.694 5.694 5.694
```

***

Below is a geometry-optimized MgFe2Ru structure, with properties calculated at the PBE level.

Computed properties:
For the density of states at the Fermi level, the calculation gives 4.2 states/eV/cell. The calculation puts the energy of formation from the pure elements at 217 meV per atom.

```
MgFe2Ru
1.0
2.622 0.000 0.000
0.000 4.265 0.000
-1.022 0.000 4.965
Mg Fe Ru
1 2 1
Cartesian
0.000 0.000 0.000
-0.092 2.133 3.643
1.692 2.133 1.322
0.800 0.000 2.483
```

***

Below is a geometry-optimized GeB2Pb structure, with properties calculated at the PBE level.

Computed properties:
For the density of states at the Fermi level, the calculation gives 6.8 states/eV/cell. The energy above the most stable polymorph in this dataset comes out at 0.000 eV per atom. The calculation puts the energy of formation from the pure elements at 848 meV per atom.

```
GeB2Pb
1.0
5.189 0.000 0.000
0.000 5.189 0.000
0.000 0.000 10.323
Ge B Pb
4 8 4
Cartesian
0.000 0.000 0.000
0.000 2.595 2.581
2.595 0.000 7.743
2.595 2.595 5.162
1.026 1.297 1.290
1.297 3.621 3.871
1.297 4.163 9.033
1.568 1.297 6.452
3.621 3.892 6.452
3.892 1.026 9.033
3.892 1.568 3.871
4.163 3.892 1.290
0.000 0.000 5.162
0.000 2.595 7.743
2.595 0.000 2.581
2.595 2.595 0.000
```

***

Below is a geometry-optimized Ba3SrRh2 structure, with properties calculated at the PBE level.

Computed properties:
For the density of states at the Fermi level, the calculation gives 7.4 states/eV/cell. The calculation puts the energy of formation from the pure elements at -140 meV per atom.

```
Ba3SrRh2
1.0
9.530 -2.282 0.000
9.530 2.282 0.000
-8.127 0.000 11.402
Ba Sr Rh
6 2 4
Cartesian
-0.392 0.000 2.193
-0.980 0.000 6.286
-1.792 0.000 10.756
12.725 0.000 0.646
11.913 0.000 5.116
11.325 0.000 9.209
6.012 0.000 3.419
4.921 0.000 7.983
-4.762 0.000 9.969
2.004 0.000 7.175
8.929 0.000 4.227
15.695 0.000 1.433
```